Ca2NbCrSe | PBE-GGA | optimized geometry

The space group is P4/mmm (No. 123) and the conventional cell measures 5.600, 5.600 and 4.404 Å, with angles of 90.00, 90.00 and 90.00 degrees. The distinct sites, in fractional coordinates, are Ca at (0.000, 0.500, 0.000), Nb at (0.000, 0.000, 0.500), Cr at (0.000, 0.000, 0.000) and Se at (0.500, 0.500, 0.500).

The calculation puts the density of states at the Fermi level at 3.8 states/eV per cell. For the formation energy from raw total energies, the calculation gives 0.428 eV/atom. As for the total energy: -5.01 eV/atom.

Ca2YNbCr | PBE-GGA | optimized geometry

The space group is P4/mmm (No. 123) and the conventional cell measures 5.815, 5.815 and 4.373 Å, with angles of 90.00, 90.00 and 90.00 degrees. The distinct sites, in fractional coordinates, are Ca at (0.000, 0.500, 0.000), Y at (0.000, 0.000, 0.500), Nb at (0.500, 0.500, 0.000) and Cr at (0.500, 0.500, 0.500).

The calculation puts the density of states at the Fermi level at 3.9 states/eV per cell. The value obtained for the energy of formation is 4.8 eV/f.u. As for the total energy: -5.06 eV/atom.

What did the second record say?
Ca2YNbCr | PBE-GGA | optimized geometry

The space group is P4/mmm (No. 123) and the conventional cell measures 5.815, 5.815 and 4.373 Å, with angles of 90.00, 90.00 and 90.00 degrees. The distinct sites, in fractional coordinates, are Ca at (0.000, 0.500, 0.000), Y at (0.000, 0.000, 0.500), Nb at (0.500, 0.500, 0.000) and Cr at (0.500, 0.500, 0.500).

The calculation puts the density of states at the Fermi level at 3.9 states/eV per cell. The value obtained for the energy of formation is 4.8 eV/f.u. As for the total energy: -5.06 eV/atom.